[1]
Rb2PrHoO4 GGA-PBE relaxed; ΔE_f (raw) = -2604 meV per atom
1.0
-3.2110 -0.0576 -1.6267
1.9695 -4.5955 -3.7250
-2.7852 -2.9290 5.6015
O Rb Ho Pr
4 2 1 1
direct
0.0000 0.2609 0.8207 O
0.0000 0.7391 0.1793 O
0.5000 0.2147 0.1770 O
0.5000 0.7853 0.8230 O
0.5000 0.0000 0.5000 Rb
0.0000 0.5000 0.5000 Rb
0.0000 0.0000 0.0000 Ho
0.5000 0.5000 0.0000 Pr

---

[2]
ZrReSi GGA-PBE relaxed; ΔE_f (raw) = -678 meV per atom
1.0
3.4649 0.0000 0.0000
0.0000 6.9300 0.0000
0.0000 0.0000 12.2379
Zr Si Re
6 6 6
direct
0.0000 0.8456 0.7500 Zr
0.0000 0.1544 0.2500 Zr
0.0000 0.2537 0.9535 Zr
0.0000 0.7463 0.0465 Zr
0.0000 0.7463 0.4535 Zr
0.0000 0.2537 0.5465 Zr
0.0000 0.4493 0.7500 Si
0.5000 0.0564 0.0935 Si
0.5000 0.9436 0.9065 Si
0.0000 0.5507 0.2500 Si
0.5000 0.0564 0.4065 Si
0.5000 0.9436 0.5935 Si
0.5000 0.8053 0.2500 Re
0.5000 0.5742 0.8774 Re
0.5000 0.5742 0.6226 Re
0.5000 0.4258 0.3774 Re
0.5000 0.1947 0.7500 Re
0.5000 0.4258 0.1226 Re

---

[3]
Pm2DyY5Th GGA-PBE relaxed; final energy = -0.209 hartree per atom
1.0
8.7555 0.0000 0.0000
0.0000 8.7555 0.0000
-4.3778 -4.3778 7.7063
Y Pm Dy Th
10 4 2 2
direct
0.8505 0.9265 0.2770 Y
0.1495 0.0735 0.7230 Y
0.5735 0.6495 0.7230 Y
0.6495 0.1495 0.7230 Y
0.9265 0.4265 0.2770 Y
0.5000 0.5000 0.0000 Y
0.4265 0.3505 0.2770 Y
0.0735 0.5735 0.7230 Y
0.3505 0.8505 0.2770 Y
0.0000 0.0000 0.0000 Y
0.1154 0.3846 0.0000 Pm
0.3846 0.8846 0.0000 Pm
0.8846 0.6154 0.0000 Pm
0.6154 0.1154 0.0000 Pm
0.7500 0.2500 0.5000 Dy
0.2500 0.7500 0.5000 Dy
0.2500 0.2500 0.5000 Th
0.7500 0.7500 0.5000 Th

---

[4]
Tc2GeIr GGA-PBE relaxed; final energy = -0.281 hartree per atom
1.0
-2.3132 -1.9469 -4.7901
2.1363 -5.1386 1.0568
-4.5788 -4.8540 0.8348
Ge Ir Tc
2 2 4
direct
0.2500 0.7500 0.5000 Ge
0.5000 0.5000 0.0000 Ge
0.7500 0.2500 0.5000 Ir
0.0000 0.0000 0.0000 Ir
0.6336 0.1250 0.2500 Tc
0.1164 0.6250 0.2500 Tc
0.8750 0.8836 0.7500 Tc
0.3750 0.3664 0.7500 Tc

---

[5]
La2Tb3Dy6In GGA-PBE relaxed; final energy = -0.168 hartree per atom
1.0
6.1232 -0.0011 0.0004
-3.0611 5.3032 0.0004
-1.0247 -1.7743 11.6014
La Dy Tb In
2 6 3 1
direct
0.3338 0.6662 0.0000 La
0.6662 0.3338 0.0000 La
0.5905 0.9168 0.7491 Dy
0.2429 0.2429 0.7483 Dy
0.7571 0.7571 0.2517 Dy
0.0832 0.4095 0.2509 Dy
0.4095 0.0832 0.2509 Dy
0.9168 0.5905 0.7491 Dy
0.8331 0.1669 0.5000 Tb
0.1669 0.8331 0.5000 Tb
0.5000 0.5000 0.5000 Tb
0.0000 0.0000 0.0000 In

---

[6]
Bi2Se3O9 GGA-PBE relaxed; ΔE_f (raw) = -1005 meV per atom
1.0
-2.8783 -3.6773 1.1492
8.0883 -8.5568 -7.1228
3.5628 1.8466 14.8318
Se O Bi
12 36 8
direct
0.7925 0.5538 0.1244 Se
0.0866 0.0604 0.1300 Se
0.7075 0.0538 0.6244 Se
0.2075 0.4462 0.8756 Se
0.3863 0.8048 0.9815 Se
0.2925 0.9462 0.3756 Se
0.4134 0.5604 0.6300 Se
0.5866 0.4396 0.3700 Se
0.1137 0.3048 0.4815 Se
0.8863 0.6952 0.5185 Se
0.6137 0.1952 0.0185 Se
0.9134 0.9396 0.8700 Se
0.9569 0.1887 0.1984 O
0.1556 0.8260 0.2824 O
0.4377 0.0264 0.6853 O
0.3089 0.7965 0.0889 O
0.4359 0.0718 0.1569 O
0.9601 0.6216 0.0682 O
0.0641 0.5718 0.6569 O
0.4540 0.4976 0.2982 O
0.0623 0.5264 0.1853 O
0.5431 0.6887 0.6984 O
0.5641 0.9282 0.8431 O
0.0431 0.8113 0.8016 O
0.6767 0.3235 0.1095 O
0.3444 0.3260 0.7824 O
0.8444 0.1740 0.7176 O
0.8233 0.8235 0.6095 O
0.1911 0.2965 0.5889 O
0.2468 0.7025 0.5125 O
0.7468 0.7975 0.9875 O
0.9359 0.4282 0.3431 O
0.3233 0.6765 0.8905 O
0.5460 0.5024 0.7018 O
0.9377 0.4736 0.8147 O
0.6911 0.2035 0.9111 O
0.5399 0.1216 0.5682 O
0.4601 0.8784 0.4318 O
0.2532 0.2025 0.0125 O
0.5623 0.9736 0.3147 O
0.6556 0.6740 0.2176 O
0.9540 0.0024 0.2018 O
0.0460 0.9976 0.7982 O
0.1767 0.1765 0.3905 O
0.8089 0.7035 0.4111 O
0.4569 0.3113 0.3016 O
0.7532 0.2975 0.4875 O
0.0399 0.3784 0.9318 O
0.6281 0.3056 0.6549 Bi
0.1281 0.1944 0.8451 Bi
0.8711 0.6413 0.8079 Bi
0.3711 0.8587 0.6921 Bi
0.3719 0.6944 0.3451 Bi
0.1289 0.3587 0.1921 Bi
0.6289 0.1413 0.3079 Bi
0.8719 0.8056 0.1549 Bi

---

[7]
Tb3Pm5Nd3 GGA-PBE relaxed; distance to the lowest polymorph of the same formula = 0.743 eV/atom
1.0
5.4991 0.0000 0.0000
0.0000 9.7762 0.0000
0.0000 -4.8881 8.4665
Pm Tb Nd
5 3 3
direct
0.5000 0.6667 0.3333 Pm
0.5000 0.0000 0.7327 Pm
0.5000 0.3333 0.6667 Pm
0.5000 0.2673 0.2673 Pm
0.5000 0.7327 0.0000 Pm
0.0000 0.0000 0.5364 Tb
0.0000 0.4636 0.4636 Tb
0.0000 0.5364 0.0000 Tb
0.5000 0.6397 0.6397 Nd
0.5000 0.3603 0.0000 Nd
0.5000 0.0000 0.3603 Nd

---

[8]
Pm3Ru3C2 GGA-PBE relaxed; final energy = -0.279 hartree per atom
1.0
3.9012 0.0000 0.0000
-1.9506 5.4816 0.0000
0.0000 0.0000 14.7928
Ru Pm C
6 6 4
direct
0.6848 0.3697 0.4618 Ru
0.4067 0.8134 0.2500 Ru
0.5933 0.1866 0.7500 Ru
0.3152 0.6303 0.9618 Ru
0.3152 0.6303 0.5382 Ru
0.6848 0.3697 0.0382 Ru
0.0500 0.1000 0.6092 Pm
0.9500 0.9000 0.3908 Pm
0.0500 0.1000 0.8908 Pm
0.3133 0.6267 0.7500 Pm
0.9500 0.9000 0.1092 Pm
0.6867 0.3733 0.2500 Pm
0.1729 0.3457 0.4448 C
0.1729 0.3457 0.0552 C
0.8271 0.6543 0.9448 C
0.8271 0.6543 0.5552 C

---

[9]
In2Co2Hg GGA-PBE relaxed; distance to the lowest polymorph of the same formula = 0.156 eV/atom
1.0
7.6342 0.0000 0.0000
0.0000 7.6342 0.0000
0.0000 0.0000 2.9699
In Co Hg
4 4 2
direct
0.3557 0.8557 0.0000 In
0.8557 0.6443 0.0000 In
0.1443 0.3557 0.0000 In
0.6443 0.1443 0.0000 In
0.8496 0.3496 0.5000 Co
0.3496 0.1504 0.5000 Co
0.6504 0.8496 0.5000 Co
0.1504 0.6504 0.5000 Co
0.5000 0.5000 0.0000 Hg
0.0000 0.0000 0.0000 Hg

---

[10]
LaNd3Y2 GGA-PBE relaxed; distance to the lowest polymorph of the same formula = 0.161 eV/atom
1.0
6.8299 0.0000 0.0000
0.0000 7.6499 1.3143
0.0000 -1.2703 7.6573
Y Nd La
4 6 2
direct
0.7500 0.0916 0.4091 Y
0.2500 0.9084 0.5909 Y
0.2500 0.5909 0.9084 Y
0.7500 0.4091 0.0916 Y
0.7500 0.5993 0.5993 Nd
0.2500 0.4007 0.4007 Nd
0.0000 0.2519 0.7481 Nd
0.0000 0.7481 0.2519 Nd
0.5000 0.7481 0.2519 Nd
0.5000 0.2519 0.7481 Nd
0.2500 0.1024 0.1024 La
0.7500 0.8976 0.8976 La

---

[11]
Li2ThIn4 GGA-PBE relaxed; final energy = -0.110 hartree per atom
1.0
-4.1009 -1.4568 4.1269
-4.1850 -0.3494 -4.2819
5.3696 -4.6601 -0.6674
In Li Th
4 2 1
direct
0.0000 0.5000 0.0000 In
0.2500 0.7500 0.5000 In
0.7500 0.2500 0.5000 In
0.5000 0.0000 0.0000 In
0.6400 0.6400 0.2799 Li
0.3600 0.3600 0.7201 Li
0.0000 0.0000 0.0000 Th

---

[12]
La2MoH2 GGA-PBE relaxed; final energy = -0.200 hartree per atom
1.0
-3.4473 0.7713 -0.8544
-1.0816 -3.0937 1.5711
-3.0343 2.2485 6.5425
H Mo La
2 1 2
direct
0.2500 0.7500 0.5000 H
0.7500 0.2500 0.5000 H
0.0000 0.0000 0.0000 Mo
0.6377 0.6377 0.7246 La
0.3623 0.3623 0.2754 La